This record from Alexandria describes a relaxed structure of TbHo4Er2. The functional is PBE.

- Energy relative to the elements: 5 meV/atom
- Energy: -4.576 eV per atom
- Space group: P3m1

Cell lengths 3.5461, 3.5467, 19.8015 Å; angles 89.99, 90.00, 120.00 degrees
Closest atoms and distances in Å follow each position.
Fractional positions:
Tb 0.7144 0.4287 0.6657  6 Ho 3.50-3.52, 6 Tb 3.55
Ho 0.0479 0.0957 0.9542  3 Er 3.49, 9 Ho 3.51-3.55
Ho 0.3812 0.7623 0.5226  3 Er 3.48, 3 Tb 3.50, 6 Ho 3.55
Ho 0.0479 0.0958 0.2380  6 Er 3.47-3.49, 6 Ho 3.55
Ho 0.3809 0.7618 0.8103  9 Ho 3.51-3.55, 3 Tb 3.52
Er 0.7147 0.4294 0.0967  6 Ho 3.47-3.49, 6 Er 3.55
Er 0.7145 0.4289 0.3804  6 Ho 3.48-3.49, 6 Er 3.55